This record from Alexandria via LeMat-Bulk describes a relaxed BaCaNd2 crystal. The functional is GGA-PBE.

a = 13.0679 Å, b = 13.0679 Å, c = 13.0679 Å
α = 16.86°, β = 16.86°, γ = 16.86°
Fractional positions:
Ba: 0.0000 0.0000 0.0000
Ca: 0.5000 0.5000 0.5000
Nd: 0.2462 0.2462 0.2462
Nd: 0.7538 0.7538 0.7538

Output
Its formation energy is 164 meV/atom. The value obtained for the energy above the most stable polymorph in this dataset is 0.000 eV per formula unit. As for the space group: R-3m.

This record from Alexandria via LeMat-Bulk describes a relaxed BaCa2Nd crystal. The functional is GGA-PBE.

a = 4.2967 Å, b = 4.2967 Å, c = 9.6131 Å
α = 90.00°, β = 90.00°, γ = 90.00°
Fractional positions:
Ba: 0.0000 0.0000 0.0000
Ca: 0.5000 0.5000 0.2833
Ca: 0.5000 0.5000 0.7167
Nd: 0.0000 0.0000 0.5000

Output
Its formation energy is 78 meV/atom. The value obtained for the energy above the most stable polymorph in this dataset is 0.000 eV per formula unit. As for the space group: P4/mmm.

This record from Alexandria via LeMat-Bulk describes a relaxed BaCa4Nd crystal. The functional is GGA-PBE.

a = 7.2913 Å, b = 7.2913 Å, c = 7.2913 Å
α = 60.00°, β = 60.00°, γ = 60.00°
Fractional positions:
Ba: 0.0000 0.0000 0.0000
Ca: 0.3761 0.3761 0.3761
Ca: 0.3761 0.3761 0.8718
Ca: 0.3761 0.8718 0.3761
Ca: 0.8718 0.3761 0.3761
Nd: 0.7500 0.7500 0.7500

Output
Its formation energy is 183 meV/atom. As for the space group: F-43m.

This record from Alexandria via LeMat-Bulk describes a relaxed BaCa2Nd crystal. The functional is GGA-PBE.

a = 6.2752 Å, b = 6.2752 Å, c = 6.2752 Å
α = 60.00°, β = 60.00°, γ = 60.00°
Fractional positions:
Ba: 0.0000 0.0000 0.0000
Ca: 0.2500 0.2500 0.2500
Ca: 0.7500 0.7500 0.7500
Nd: 0.5000 0.5000 0.5000

Output
Its formation energy is 125 meV/atom. The value obtained for the energy above the most stable polymorph in this dataset is 0.188 eV per formula unit. As for the space group: Fm-3m.

This record from Alexandria via LeMat-Bulk describes a relaxed BaCa2Nd crystal. The functional is GGA-PBE.

a = 13.2560 Å, b = 13.2560 Å, c = 13.2560 Å
α = 16.99°, β = 16.99°, γ = 16.99°
Fractional positions:
Ba: 0.0000 0.0000 0.0000
Ca: 0.2446 0.2446 0.2446
Ca: 0.7554 0.7554 0.7554
Nd: 0.5000 0.5000 0.5000

Output
Its formation energy is 103 meV/atom. The value obtained for the energy above the most stable polymorph in this dataset is 0.100 eV per formula unit. As for the space group: R-3m.

This record from Alexandria via LeMat-Bulk describes a relaxed BaCaNd2 crystal. The functional is GGA-PBE.

a = 4.1832 Å, b = 4.1832 Å, c = 9.5974 Å
α = 90.00°, β = 90.00°, γ = 90.00°
Fractional positions:
Ba: 0.0000 0.0000 0.0000
Ca: 0.0000 0.0000 0.5000
Nd: 0.5000 0.5000 0.2906
Nd: 0.5000 0.5000 0.7094

Output
Its formation energy is 181 meV/atom. The value obtained for the energy above the most stable polymorph in this dataset is 0.065 eV per formula unit. As for the space group: P4/mmm.

This record from Alexandria via LeMat-Bulk describes a relaxed BaCaPmNd crystal. The functional is GGA-PBE.

a = 6.1506 Å, b = 6.1506 Å, c = 6.1506 Å
α = 60.00°, β = 60.00°, γ = 60.00°
Fractional positions:
Ba: 0.0000 0.0000 0.0000
Ca: 0.7500 0.7500 0.7500
Pm: 0.2500 0.2500 0.2500
Nd: 0.5000 0.5000 0.5000

Output
Its formation energy is 195 meV/atom. As for the space group: F-43m.

This record from Alexandria via LeMat-Bulk describes a relaxed BaCa2NdS4 crystal. The functional is GGA-PBE.

a = 7.2056 Å, b = 4.1524 Å, c = 7.2770 Å
α = 90.00°, β = 109.24°, γ = 90.00°
Fractional positions:
Ba: 0.0000 0.0000 0.0000
Ca: 0.5000 0.0000 0.5000
Ca: 0.5000 0.5000 0.0000
Nd: 0.0000 0.5000 0.5000
S: 0.2599 0.0000 0.7397
S: 0.2693 0.5000 0.2727
S: 0.7307 0.5000 0.7273
S: 0.7401 0.0000 0.2603

Output
As for the space group: P2/m. Its uncorrected formation energy is -2.026 eV per atom.